No. 1
Here is a relaxed structure of NaZnSb3 from Alexandria. Energies are from GGA-PBE.

E above lowest polymorph: 897 meV per atom
Fermi-level density of states: 2.98 states/eV/f.u.
raw formation energy: 0.8383 eV per atom

a b c (Å): 5.3960 5.3960 5.3960
angles (deg): 90.00 90.00 90.00
With the nearest neighbours (Å) after each atom.
Atoms (fractional coordinates):
Sb 0.5000 0.0000 0.0000  2 Na 2.70
Sb 0.0000 0.5000 0.0000  2 Na 2.70
Sb 0.0000 0.0000 0.5000  2 Na 2.70
Zn 0.5000 0.5000 0.5000  12 Sb 3.82
Na 0.0000 0.0000 0.0000  6 Sb 2.70

=====

No. 2
Here is a relaxed structure of NaZnSb2 from Alexandria. Energies are from GGA-PBE.

Fermi-level density of states: 2.98 states/eV/f.u.
raw formation energy: -0.0155 eV per atom

a b c (Å): 4.3189 4.7105 4.7105
angles (deg): 90.00 90.00 90.00
With the nearest neighbours (Å) after each atom.
Atoms (fractional coordinates):
Zn 0.5000 0.5000 0.5000  8 Sb 3.20, 4 Na 3.33
Sb 0.0000 0.5000 0.0000  4 Na 3.20, 4 Zn 3.20, 4 Sb 3.33
Sb 0.0000 0.0000 0.5000  4 Na 3.20, 4 Zn 3.20, 4 Sb 3.33
Na 0.5000 0.0000 0.0000  8 Sb 3.20, 4 Zn 3.33

=====

No. 3
Here is a relaxed structure of NaZnSb2 from Alexandria. Energies are from GGA-PBE.

Fermi-level density of states: 0.74 states/eV/f.u.
raw formation energy: -0.1752 eV per atom

a b c (Å): 4.1517 4.1648 25.3066
angles (deg): 90.00 90.00 90.00
With the nearest neighbours (Å) after each atom.
Atoms (fractional coordinates):
Sb 0.2500 0.2508 0.0158  4 Sb 3.04-3.05, 2 Na 3.30-3.33
Sb 0.2500 0.7576 0.3214  4 Zn 2.75-2.76
Sb 0.7500 0.2576 0.1786  4 Zn 2.75-2.76
Sb 0.2500 0.2492 0.5158  4 Sb 3.04-3.05, 2 Na 3.30-3.33
Sb 0.2500 0.7424 0.8214  4 Zn 2.75-2.76
Sb 0.7500 0.7508 0.4842  4 Sb 3.04-3.05, 2 Na 3.30-3.33
Sb 0.7500 0.2424 0.6786  4 Zn 2.75-2.76
Sb 0.7500 0.7492 0.9842  4 Sb 3.04-3.05, 2 Na 3.30-3.33
Na 0.7500 0.2439 0.8822  6 Sb 3.30-3.33
Na 0.2500 0.7561 0.1178  6 Sb 3.30-3.33
Na 0.2500 0.7439 0.6178  6 Sb 3.30-3.33
Na 0.7500 0.2561 0.3822  6 Sb 3.30-3.33
Zn 0.7500 0.7421 0.7499  4 Sb 2.75-2.76, 4 Zn 2.94
Zn 0.2500 0.2421 0.7501  4 Sb 2.75-2.76, 4 Zn 2.94
Zn 0.2500 0.2579 0.2501  4 Sb 2.75-2.76, 4 Zn 2.94
Zn 0.7500 0.7579 0.2499  4 Sb 2.75-2.76, 4 Zn 2.94

=====

No. 4
Here is a relaxed structure of Na5Zn2Sb5 from Alexandria. Energies are from GGA-PBE.

E above lowest polymorph: 0 meV per atom
Fermi-level density of states: 6.35 states/eV/f.u.
raw formation energy: -0.2462 eV per atom

a b c (Å): 4.4570 8.3422 9.5637
angles (deg): 83.83 76.53 74.51
With the nearest neighbours (Å) after each atom.
Atoms (fractional coordinates):
Na 0.2826 0.0797 0.3551  5 Sb 3.23-3.32, 1 Zn 3.41
Na 0.3876 0.2939 0.9310  3 Zn 3.18-3.25, 7 Sb 3.26-3.33
Na 0.5000 0.5000 0.5000  6 Sb 3.29-3.64, 4 Zn 3.36
Na 0.7174 0.9203 0.6449  5 Sb 3.23-3.32, 1 Zn 3.41
Na 0.6124 0.7061 0.0690  3 Zn 3.18-3.25, 7 Sb 3.26-3.33
Sb 0.0516 0.2067 0.6901  1 Zn 2.62
Sb 0.7477 0.3113 0.1933  2 Zn 2.66
Sb 0.9484 0.7933 0.3099  1 Zn 2.62
Sb 0.0000 0.0000 0.0000  4 Sb 3.15-3.26, 4 Na 3.29
Sb 0.2523 0.6887 0.8067  2 Zn 2.66
Zn 0.1421 0.4854 0.2304  3 Sb 2.62-2.66
Zn 0.8579 0.5146 0.7696  3 Sb 2.62-2.66